Here is crystalline Cr3Se at its relaxed geometry from the Alexandria database. Energies are from PBE-GGA.

CIF file:
```
data_Cr3Se
_chemical_formula_sum 'Cr6 Se2'
_symmetry_space_group_name_H-M 'P m m n'
_symmetry_Int_Tables_number 59
_cell_length_a 4.327
_cell_length_b 4.786
_cell_length_c 5.088
_cell_angle_alpha 90.00
_cell_angle_beta 90.00
_cell_angle_gamma 90.00
loop_
_symmetry_equiv_pos_as_xyz
'x,y,z'
'-x,-y,-z'
'-x+1/2,-y+1/2,z'
'x+1/2,y+1/2,-z'
'x+1/2,-y,-z'
'-x+1/2,y,z'
'-x,y+1/2,-z'
'x,-y+1/2,z'
loop_
_atom_site_label
_atom_site_type_symbol
_atom_site_fract_x
_atom_site_fract_y
_atom_site_fract_z
_atom_site_occupancy
Cr1 Cr 0.250 0.030 0.172 1
Cr2 Cr 0.250 0.250 0.748 1
Se1 Se 0.250 0.750 0.623 1
```

Values from the calculation:
Mass density (g/cm3): 7.405
ΔE_f (raw) (eV/atom): 0.29
Energy above the most stable polymorph in this dataset (meV/atom): 72